Record 1
A plane-wave DFT calculation with PBE-GGA was carried out for an optimized crystal structure of SrLi4AgPd2.

Properties
* total DFT energy (no corrections): -24.95 eV for the cell shown
* symmetry: R-3m

Cell: 9.056 9.056 9.056 Å, 28.25 28.25 28.25°
Positions (direct):
1 Sr 0.000 0.000 0.000
2 Li 0.133 0.133 0.133
3 Li 0.405 0.405 0.405
4 Li 0.595 0.595 0.595
5 Li 0.867 0.867 0.867
6 Ag 0.500 0.500 0.500
7 Pd 0.242 0.242 0.242
8 Pd 0.758 0.758 0.758



Record 2
A plane-wave DFT calculation with PBE-GGA was carried out for an optimized crystal structure of Sr2LiAgPd.

Properties
* total DFT energy (no corrections): -14.27 eV for the cell shown
* symmetry: P4/mmm

Cell: 5.854 5.854 4.725 Å, 90.00 90.00 90.00°
Positions (direct):
1 Sr 0.000 0.500 0.000
2 Sr 0.500 0.000 0.000
3 Li 0.000 0.000 0.500
4 Ag 0.500 0.500 0.500
5 Pd 0.000 0.000 0.000



Record 3
A plane-wave DFT calculation with PBE-GGA was carried out for an optimized crystal structure of Sr2Li12Ag3Pd.

Properties
* total DFT energy (no corrections): -39.57 eV for the cell shown
* symmetry: R-3m

Cell: 11.280 11.280 11.280 Å, 33.88 33.88 33.88°
Positions (direct):
1 Sr 0.150 0.150 0.150
2 Sr 0.850 0.850 0.850
3 Li 0.091 0.091 0.678
4 Li 0.091 0.678 0.091
5 Li 0.149 0.572 0.572
6 Li 0.322 0.909 0.909
7 Li 0.428 0.428 0.851
8 Li 0.428 0.851 0.428
9 Li 0.572 0.149 0.572
10 Li 0.572 0.572 0.149
11 Li 0.678 0.091 0.091
12 Li 0.851 0.428 0.428
13 Li 0.909 0.322 0.909
14 Li 0.909 0.909 0.322
15 Ag 0.000 0.500 0.500
16 Ag 0.500 0.000 0.500
17 Ag 0.500 0.500 0.000
18 Pd 0.500 0.500 0.500



Record 4
A plane-wave DFT calculation with PBE-GGA was carried out for an optimized crystal structure of SrLi2AgPd.

Properties
* total DFT energy (no corrections): -14.45 eV for the cell shown
* symmetry: P4/mmm

Cell: 4.739 4.739 5.350 Å, 90.00 90.00 90.00°
Positions (direct):
1 Sr 0.000 0.000 0.000
2 Li 0.000 0.500 0.500
3 Li 0.500 0.000 0.500
4 Ag 0.500 0.500 0.000
5 Pd 0.500 0.500 0.500



Number 4 is which compound? SrLi2AgPd